A relaxed structure of PrP2Rh2. Source: the Alexandria database, functional PBEsol.

a b c (Å): 4.120 4.120 9.529
angles (deg): 90.00 90.00 90.00
Sites, in units of the cell vectors:
Pr 0.250 0.250 0.243
Pr 0.750 0.750 0.757
P 0.250 0.250 0.638
P 0.250 0.750 0.000
P 0.750 0.250 0.000
P 0.750 0.750 0.362
Rh 0.250 0.250 0.887
Rh 0.250 0.750 0.500
Rh 0.750 0.250 0.500
Rh 0.750 0.750 0.113

Computed properties:
Energy (eV per atom): -7.779
Density (g/cm3): 8.39
Total moment (μB per formula unit): 0.00
E_form (eV per atom): -1.170